# Th3AuO

Crystalline Th3AuO at its relaxed geometry (PBE, Alexandria via LeMat-Bulk).

The structure in CIF format:
```
data_Th3AuO
_symmetry_space_group_name_H-M 'P m -3 m'
_symmetry_Int_Tables_number 221
_symmetry_space_group_name_Hall '-P 4 2 3'
_cell_length_a 4.941
_cell_length_b 4.941
_cell_length_c 4.941
_cell_angle_alpha 90.00
_cell_angle_beta 90.00
_cell_angle_gamma 90.00
loop_
_atom_site_label
_atom_site_type_symbol
_atom_site_fract_x
_atom_site_fract_y
_atom_site_fract_z
_atom_site_occupancy
Th1 Th 0.000 0.000 0.500 1
Au1 Au 0.500 0.500 0.500 1
O1 O 0.000 0.000 0.000 1
```

## Properties
Its total moment is 0.00 μB/f.u. The calculation puts the density of states at the Fermi level at 4.89 states/eV/f.u. As for the calculated total energy: -7.23 eV per atom.

# Th4Au2O

Crystalline Th4Au2O at its relaxed geometry (PBE, Alexandria via LeMat-Bulk).

The structure in CIF format:
```
data_Th4Au2O
_symmetry_space_group_name_H-M 'I 4/m m m'
_symmetry_Int_Tables_number 139
_symmetry_space_group_name_Hall '-I 4 2'
_cell_length_a 4.865
_cell_length_b 4.865
_cell_length_c 15.381
_cell_angle_alpha 90.00
_cell_angle_beta 90.00
_cell_angle_gamma 90.00
loop_
_atom_site_label
_atom_site_type_symbol
_atom_site_fract_x
_atom_site_fract_y
_atom_site_fract_z
_atom_site_occupancy
Th1 Th 0.000 0.000 0.178 1
Th2 Th 0.000 0.500 0.000 1
Au1 Au 0.000 0.000 0.365 1
O1 O 0.000 0.000 0.000 1
```

## Properties
Its total moment is 0.00 μB/f.u. The calculation puts the density of states at the Fermi level at 7.79 states/eV/f.u. As for the calculated total energy: -6.84 eV per atom.

# Th2AuO

Crystalline Th2AuO at its relaxed geometry (PBE, Alexandria via LeMat-Bulk).

The structure in CIF format:
```
data_Th2AuO
_symmetry_space_group_name_H-M 'R -3 m'
_symmetry_Int_Tables_number 166
_symmetry_space_group_name_Hall '-R 3 2"'
_cell_length_a 3.5139
_cell_length_b 3.5139
_cell_length_c 26.8564
_cell_angle_alpha 90.00
_cell_angle_beta 90.00
_cell_angle_gamma 120.00
loop_
_atom_site_label
_atom_site_type_symbol
_atom_site_fract_x
_atom_site_fract_y
_atom_site_fract_z
_atom_site_occupancy
Th1 Th 0.0000 0.0000 0.1098 1
Au1 Au 0.0000 0.0000 0.0000 1
O1 O 0.0000 0.0000 0.5000 1
```

## Properties
Its total moment is 0.00 μB/f.u. The calculation puts the density of states at the Fermi level at 4.10 states/eV/f.u. As for the calculated total energy: -6.73 eV per atom.

# Ti6Au2O

Crystalline Ti6Au2O at its relaxed geometry (PBE, Alexandria via LeMat-Bulk).

The structure in CIF format:
```
data_Ti6Au2O
_symmetry_space_group_name_H-M 'A m m 2'
_symmetry_Int_Tables_number 38
_cell_length_a 2.995
_cell_length_b 12.798
_cell_length_c 7.362
_cell_angle_alpha 90.00
_cell_angle_beta 90.00
_cell_angle_gamma 90.00
loop_
_symmetry_equiv_pos_as_xyz
'x,y,z'
'-x,-y,z'
'-x,y,z'
'x,-y,z'
'x,y+1/2,z+1/2'
'-x,-y+1/2,z+1/2'
'-x,y+1/2,z+1/2'
'x,-y+1/2,z+1/2'
loop_
_atom_site_label
_atom_site_type_symbol
_atom_site_fract_x
_atom_site_fract_y
_atom_site_fract_z
_atom_site_occupancy
Ti1 Ti 0.000 0.000 0.000 1
Ti2 Ti 0.000 0.107 0.643 1
Ti3 Ti 0.500 0.000 0.325 1
Ti4 Ti 0.500 0.181 0.951 1
Au1 Au 0.000 0.175 0.266 1
O1 O 0.500 0.000 0.792 1
```

## Properties
Its total moment is 0.00 μB/f.u. The calculation puts the density of states at the Fermi level at 9.44 states/eV/f.u. As for the calculated total energy: -7.11 eV per atom.

# Ti3AuO

Crystalline Ti3AuO at its relaxed geometry (PBE, Alexandria via LeMat-Bulk).

The structure in CIF format:
```
data_Ti3AuO
_symmetry_space_group_name_H-M 'C 1 2/c 1'
_symmetry_Int_Tables_number 15
_cell_length_a 9.543
_cell_length_b 11.826
_cell_length_c 5.068
_cell_angle_alpha 90.00
_cell_angle_beta 91.63
_cell_angle_gamma 90.00
loop_
_symmetry_equiv_pos_as_xyz
'x,y,z'
'-x,-y,-z'
'-x,y,-z+1/2'
'x,-y,z+1/2'
'x+1/2,y+1/2,z'
'-x+1/2,-y+1/2,-z'
'-x+1/2,y+1/2,-z+1/2'
'x+1/2,-y+1/2,z+1/2'
loop_
_atom_site_label
_atom_site_type_symbol
_atom_site_fract_x
_atom_site_fract_y
_atom_site_fract_z
_atom_site_occupancy
Ti1 Ti 0.123 0.073 0.096 1
Ti2 Ti 0.124 0.319 0.047 1
Ti3 Ti 0.129 0.187 0.591 1
Au1 Au 0.137 0.438 0.556 1
O1 O 0.000 0.065 0.750 1
O2 O 0.000 0.203 0.250 1
```

## Properties
Its total moment is 0.00 μB/f.u. The calculation puts the density of states at the Fermi level at 3.79 states/eV/f.u. As for the calculated total energy: -7.59 eV per atom.

# TiAuO

Crystalline TiAuO at its relaxed geometry (PBE, Alexandria via LeMat-Bulk).

The structure in CIF format:
```
data_TiAuO
_symmetry_space_group_name_H-M 'I m m m'
_symmetry_Int_Tables_number 71
_symmetry_space_group_name_Hall '-I 2 2'
_cell_length_a 2.990
_cell_length_b 4.722
_cell_length_c 13.544
_cell_angle_alpha 90.00
_cell_angle_beta 90.00
_cell_angle_gamma 90.00
loop_
_atom_site_label
_atom_site_type_symbol
_atom_site_fract_x
_atom_site_fract_y
_atom_site_fract_z
_atom_site_occupancy
Ti1 Ti 0.000 0.000 0.101 1
Au1 Au 0.000 0.000 0.303 1
O1 O 0.000 0.253 0.000 1
```

## Properties
Its total moment is 0.00 μB/f.u. The calculation puts the density of states at the Fermi level at 1.41 states/eV/f.u. As for the calculated total energy: -6.58 eV per atom.

# Ti3AuO

Crystalline Ti3AuO at its relaxed geometry (PBE, Alexandria via LeMat-Bulk).

The structure in CIF format:
```
data_Ti3AuO
_symmetry_space_group_name_H-M 'P m -3 m'
_symmetry_Int_Tables_number 221
_symmetry_space_group_name_Hall '-P 4 2 3'
_cell_length_a 4.139
_cell_length_b 4.139
_cell_length_c 4.139
_cell_angle_alpha 90.00
_cell_angle_beta 90.00
_cell_angle_gamma 90.00
loop_
_atom_site_label
_atom_site_type_symbol
_atom_site_fract_x
_atom_site_fract_y
_atom_site_fract_z
_atom_site_occupancy
Ti1 Ti 0.000 0.000 0.500 1
Au1 Au 0.500 0.500 0.500 1
O1 O 0.000 0.000 0.000 1
```

## Properties
Its total moment is 1.17 μB/f.u. The calculation puts the density of states at the Fermi level at 4.72 states/eV/f.u. As for the calculated total energy: -7.68 eV per atom.

# Ti3AuO

Crystalline Ti3AuO at its relaxed geometry (PBE, Alexandria via LeMat-Bulk).

The structure in CIF format:
```
data_Ti3AuO
_symmetry_space_group_name_H-M 'P 1 21/m 1'
_symmetry_Int_Tables_number 11
_cell_length_a 4.781
_cell_length_b 2.989
_cell_length_c 10.061
_cell_angle_alpha 90.00
_cell_angle_beta 91.81
_cell_angle_gamma 90.00
loop_
_symmetry_equiv_pos_as_xyz
'x,y,z'
'-x,-y,-z'
'-x,y+1/2,-z'
'x,-y+1/2,z'
loop_
_atom_site_label
_atom_site_type_symbol
_atom_site_fract_x
_atom_site_fract_y
_atom_site_fract_z
_atom_site_occupancy
Ti1 Ti 0.233 0.250 0.447 1
Ti2 Ti 0.245 0.750 0.704 1
Ti3 Ti 0.249 0.750 0.197 1
Au1 Au 0.248 0.250 0.947 1
O1 O 0.497 0.250 0.627 1
```

## Properties
Its total moment is 0.00 μB/f.u. The calculation puts the density of states at the Fermi level at 2.90 states/eV/f.u. As for the calculated total energy: -7.59 eV per atom.

# Ti4Au2O

Crystalline Ti4Au2O at its relaxed geometry (PBE, Alexandria via LeMat-Bulk).

The structure in CIF format:
```
data_Ti4Au2O
_symmetry_space_group_name_H-M 'I 4/m m m'
_symmetry_Int_Tables_number 139
_symmetry_space_group_name_Hall '-I 4 2'
_cell_length_a 4.058
_cell_length_b 4.058
_cell_length_c 13.591
_cell_angle_alpha 90.00
_cell_angle_beta 90.00
_cell_angle_gamma 90.00
loop_
_atom_site_label
_atom_site_type_symbol
_atom_site_fract_x
_atom_site_fract_y
_atom_site_fract_z
_atom_site_occupancy
Ti1 Ti 0.000 0.000 0.170 1
Ti2 Ti 0.000 0.500 0.000 1
Au1 Au 0.000 0.000 0.361 1
O1 O 0.000 0.000 0.000 1
```

## Properties
Its total moment is 0.01 μB/f.u. The calculation puts the density of states at the Fermi level at 9.54 states/eV/f.u. As for the calculated total energy: -7.06 eV per atom.

# Ti3AuO

Crystalline Ti3AuO at its relaxed geometry (PBE, Alexandria via LeMat-Bulk).

The structure in CIF format:
```
data_Ti3AuO
_symmetry_space_group_name_H-M 'C 1 2/c 1'
_symmetry_Int_Tables_number 15
_cell_length_a 13.077
_cell_length_b 9.144
_cell_length_c 5.594
_cell_angle_alpha 90.00
_cell_angle_beta 104.35
_cell_angle_gamma 90.00
loop_
_symmetry_equiv_pos_as_xyz
'x,y,z'
'-x,-y,-z'
'-x,y,-z+1/2'
'x,-y,z+1/2'
'x+1/2,y+1/2,z'
'-x+1/2,-y+1/2,-z'
'-x+1/2,y+1/2,-z+1/2'
'x+1/2,-y+1/2,z+1/2'
loop_
_atom_site_label
_atom_site_type_symbol
_atom_site_fract_x
_atom_site_fract_y
_atom_site_fract_z
_atom_site_occupancy
Ti1 Ti 0.141 0.129 0.118 1
Ti2 Ti 0.171 0.247 0.623 1
Ti3 Ti 0.178 0.452 0.096 1
Au1 Au 0.000 0.316 0.250 1
Au2 Au 0.000 0.366 0.750 1
O1 O 0.161 0.062 0.794 1
```

## Properties
Its total moment is 0.00 μB/f.u. The calculation puts the density of states at the Fermi level at 5.28 states/eV/f.u. As for the calculated total energy: -7.45 eV per atom.

# Ti3AuO

Crystalline Ti3AuO at its relaxed geometry (PBE, Alexandria via LeMat-Bulk).

The structure in CIF format:
```
data_Ti3AuO
_symmetry_space_group_name_H-M 'A m m 2'
_symmetry_Int_Tables_number 38
_cell_length_a 2.905
_cell_length_b 6.193
_cell_length_c 8.651
_cell_angle_alpha 90.00
_cell_angle_beta 90.00
_cell_angle_gamma 90.00
loop_
_symmetry_equiv_pos_as_xyz
'x,y,z'
'-x,-y,z'
'-x,y,z'
'x,-y,z'
'x,y+1/2,z+1/2'
'-x,-y+1/2,z+1/2'
'-x,y+1/2,z+1/2'
'x,-y+1/2,z+1/2'
loop_
_atom_site_label
_atom_site_type_symbol
_atom_site_fract_x
_atom_site_fract_y
_atom_site_fract_z
_atom_site_occupancy
Ti1 Ti 0.000 0.000 0.000 1
Ti2 Ti 0.500 0.225 0.239 1
Au1 Au 0.000 0.000 0.488 1
O1 O 0.500 0.000 0.840 1
```

## Properties
Its total moment is 0.00 μB/f.u. The calculation puts the density of states at the Fermi level at 6.64 states/eV/f.u. As for the calculated total energy: -7.43 eV per atom.

# Ti2AuO

Crystalline Ti2AuO at its relaxed geometry (PBE, Alexandria via LeMat-Bulk).

The structure in CIF format:
```
data_Ti2AuO
_symmetry_space_group_name_H-M 'I -4 2 d'
_symmetry_Int_Tables_number 122
_symmetry_space_group_name_Hall 'I -4 2bw'
_cell_length_a 5.131
_cell_length_b 5.131
_cell_length_c 10.459
_cell_angle_alpha 90.00
_cell_angle_beta 90.00
_cell_angle_gamma 90.00
loop_
_atom_site_label
_atom_site_type_symbol
_atom_site_fract_x
_atom_site_fract_y
_atom_site_fract_z
_atom_site_occupancy
Ti1 Ti 0.137 0.250 0.125 1
Au1 Au 0.000 0.000 0.500 1
O1 O 0.000 0.000 0.000 1
```

## Properties
Its total moment is 0.00 μB/f.u. The calculation puts the density of states at the Fermi level at 4.68 states/eV/f.u. As for the calculated total energy: -7.15 eV per atom.